Computed, not measured: Sr2Li3TlPb4 after structural relaxation at the PBE-GGA level of DFT.

a b c (Å): 4.713 4.713 12.688
angles (deg): 90.00 90.00 90.00
Space group P-4m2 (No. 115)
Symmetry-distinct sites (fractional):
Sr: 0.000 0.500 0.242 (multiplicity 2)
Li: 0.000 0.500 0.867 (multiplicity 2)
Li: 0.500 0.500 0.500 (multiplicity 1)
Tl: 0.000 0.000 0.500 (multiplicity 1)
Pb: 0.000 0.000 0.000 (multiplicity 1)
Pb: 0.000 0.500 0.652 (multiplicity 2)
Pb: 0.500 0.500 0.000 (multiplicity 1)

Properties
Density (Mg/m³): 7.24
DFT formation energy (eV/atom): -0.3398
N(E_F) (states/eV/cell): 6.0